Computed, not measured: a relaxed TaNbSe2N crystal at the PBE-GGA level of DFT.

The density of states at the Fermi level comes out at 4.87 states/eV/cell. The total magnetization is 2.71 μB per formula unit. The volume comes out at 20.40 A^3/atom. The value obtained for the raw total energy is -36.12 eV/cell. The uncorrected formation energy is 21.2 kJ per mole of atoms. Its energy above the most stable polymorph in this dataset is 0.000 eV per atom.

The structure belongs to space group P4/mmm (No. 123); the cell edges are 5.150, 5.150 and 3.846 Å and the angles 90.00°, 90.00° and 90.00°. The asymmetric unit holds Ta at (0.000, 0.000, 0.000), Nb at (0.500, 0.500, 0.500), Se at (0.000, 0.500, 0.000) and N at (0.000, 0.000, 0.500).